1.
First-principles (GGA-PBE) data for a relaxed structure of TaMn2Rh, as listed in Alexandria.

Geometry as POSCAR:
```
TaMn2Rh
1.0
-0.424 1.187 -2.817
2.308 -1.740 -1.080
-3.870 -4.355 -1.253
Mn Rh Ta
2 1 1
direct
0.500 0.500 0.234
0.000 0.000 0.008
0.000 0.000 0.493
0.500 0.500 0.765
```

Calculated values
- magnetic moment (μB/cell) = 4.0
- relative energy among the computed polymorphs (kJ/mol of atoms) = 0.02

2.
First-principles (GGA-PBE) data for a relaxed structure of Ta2MnRh, as listed in Alexandria.

Geometry as POSCAR:
```
Ta2MnRh
1.0
8.318 0.006 0.004
7.775 2.956 0.004
7.775 1.431 2.587
Ta Rh Mn
2 1 1
direct
0.505 0.505 0.505
0.995 0.995 0.995
0.750 0.750 0.750
0.250 0.250 0.250
```

Calculated values
- magnetic moment (μB/cell) = 0.6
- calculated total energy (eV per cell) = -40.18

3.
First-principles (GGA-PBE) data for a relaxed structure of TaMn2Rh, as listed in Alexandria.

Geometry as POSCAR:
```
TaMn2Rh
1.0
3.124 0.000 0.000
0.000 3.124 0.000
0.000 0.000 5.910
Ta Mn Rh
1 2 1
direct
0.500 0.500 0.750
0.000 0.000 0.500
0.000 0.000 0.000
0.500 0.500 0.250
```

Calculated values
- magnetic moment (μB/cell) = 5.2
- relative energy among the computed polymorphs (kJ/mol of atoms) = 8.45

4.
First-principles (GGA-PBE) data for a relaxed structure of TaMn2Rh, as listed in Alexandria.

Geometry as POSCAR:
```
TaMn2Rh
1.0
4.000 0.000 0.000
0.000 4.000 0.000
0.000 0.000 3.551
Mn Ta Rh
2 1 1
direct
0.500 0.500 0.000
0.000 0.000 0.000
0.000 0.500 0.500
0.500 0.000 0.500
```

Calculated values
- magnetic moment (μB/cell) = 4.8
- relative energy among the computed polymorphs (kJ/mol of atoms) = 1.66

5.
First-principles (GGA-PBE) data for a relaxed structure of Ta4MnRh, as listed in Alexandria.

Geometry as POSCAR:
```
Ta4MnRh
1.0
0.000 3.788 3.788
3.788 0.000 3.788
3.788 3.788 0.000
Ta Mn Rh
4 1 1
direct
0.375 0.874 0.375
0.375 0.375 0.874
0.874 0.375 0.375
0.375 0.375 0.375
0.750 0.750 0.750
0.000 0.000 0.000
```

Calculated values
- magnetic moment (μB/cell) = 3.5
- calculated total energy (eV per cell) = -61.51

6.
First-principles (GGA-PBE) data for a relaxed structure of TaMn2Rh, as listed in Alexandria.

Geometry as POSCAR:
```
TaMn2Rh
1.0
4.911 -0.001 -0.208
3.304 3.633 -0.208
1.404 0.621 3.174
Ta Rh Mn
1 1 2
direct
0.250 0.250 0.250
0.750 0.750 0.750
0.502 0.502 0.498
0.998 0.998 0.002
```

Calculated values
- magnetic moment (μB/cell) = 5.5
- relative energy among the computed polymorphs (kJ/mol of atoms) = 8.72

7.
First-principles (GGA-PBE) data for a relaxed structure of TaMnRh, as listed in Alexandria.

Geometry as POSCAR:
```
TaMnRh
1.0
4.350 0.000 0.000
-2.175 3.767 0.000
0.000 0.000 2.787
Rh Mn Ta
1 1 1
direct
0.667 0.333 0.336
0.000 0.000 0.003
0.333 0.667 0.661
```

Calculated values
- magnetic moment (μB/cell) = 3.4
- relative energy among the computed polymorphs (kJ/mol of atoms) = 10.53

8.
First-principles (GGA-PBE) data for a relaxed structure of TaMnTcRh, as listed in Alexandria.

Geometry as POSCAR:
```
TaMnTcRh
1.0
-4.190 -1.184 0.676
-2.518 -1.229 -3.400
-1.197 -4.217 -0.445
Mn Rh Tc Ta
1 1 1 1
direct
0.750 0.750 0.750
0.000 0.000 0.000
0.500 0.500 0.500
0.250 0.250 0.250
```

Calculated values
- magnetic moment (μB/cell) = 3.9
- calculated total energy (eV per cell) = -39.73

9.
First-principles (GGA-PBE) data for a relaxed structure of TaMn2TeRh, as listed in Alexandria.

Geometry as POSCAR:
```
TaMn2TeRh
1.0
4.730 0.000 0.000
0.000 4.879 0.000
0.000 0.000 4.730
Mn Ta Te Rh
2 1 1 1
direct
0.000 0.000 0.500
0.500 0.000 0.000
0.500 0.500 0.500
0.000 0.500 0.000
0.000 0.000 0.000
```

Calculated values
- magnetic moment (μB/cell) = 6.1
- formation energy without anion corrections (eV/atom) = 1.070

10.
First-principles (GGA-PBE) data for a relaxed structure of TaMnVRh, as listed in Alexandria.

Geometry as POSCAR:
```
TaMnVRh
1.0
4.331 0.000 0.000
2.165 3.750 0.000
2.165 1.250 3.536
Mn Rh Ta V
1 1 1 1
direct
0.750 0.750 0.750
0.250 0.250 0.250
0.500 0.500 0.500
0.000 0.000 0.000
```

Calculated values
- magnetic moment (μB/cell) = 1.2
- calculated total energy (eV per cell) = -38.11

11.
First-principles (GGA-PBE) data for a relaxed structure of ZrTaMnRh, as listed in Alexandria.

Geometry as POSCAR:
```
ZrTaMnRh
1.0
4.508 0.000 0.000
2.254 3.904 0.000
2.254 1.301 3.681
Mn Ta Zr Rh
1 1 1 1
direct
0.750 0.750 0.750
0.000 0.000 0.000
0.500 0.500 0.500
0.250 0.250 0.250
```

Calculated values
- magnetic moment (μB/cell) = 0.0
- calculated total energy (eV per cell) = -38.12

12.
First-principles (GGA-PBE) data for a relaxed structure of Tb2MnRh, as listed in Alexandria.

Geometry as POSCAR:
```
Tb2MnRh
1.0
3.498 0.000 0.000
0.000 3.498 0.000
0.000 0.000 6.973
Mn Rh Tb
1 1 2
direct
0.500 0.500 0.500
0.500 0.500 0.000
0.000 0.000 0.762
0.000 0.000 0.238
```

Calculated values
- magnetic moment (μB/cell) = 2.9
- calculated total energy (eV per cell) = -27.01